A | 4
Lattice="3.180 0.000 0.000 0.000 3.180 0.000 0.000 0.000 9.385" Properties=species:S:1:pos:R:3 comment="CePuZnIn (PBE, optimized geometry)" total_magnetization_mub_per_cell=5.32 crystal_system=tetragonal dos_ef_per_ev_fu=8.345 rho_g_cm3=9.87 pbc="T T T"
Ce 0.000 0.000 0.000
Pu 0.000 0.000 5.031
Zn 1.590 1.590 7.203
In 1.590 1.590 2.536


B | 4
Lattice="0.000 3.732 3.732 3.732 0.000 3.732 3.732 3.732 0.000" Properties=species:S:1:pos:R:3 comment="CePuZnIn (PBE, optimized geometry)" total_magnetization_mub_per_cell=7.12 crystal_system=cubic dos_ef_per_ev_fu=12.142 rho_g_cm3=9.01 pbc="T T T"
Ce 0.000 0.000 0.000
Pu 3.732 3.732 3.732
Zn 1.866 1.866 1.866
In 5.598 5.598 5.598


It is A that is most stable; the runner-up trails by 65 meV per atom.


A | 16
Lattice="9.237 0.000 0.000 0.000 6.356 0.000 -0.135 0.000 7.014" Properties=species:S:1:pos:R:3 comment="Ce2InRh (PBE, optimized geometry)" total_magnetization_mub_per_cell=6.06 crystal_system=monoclinic dos_ef_per_ev_fu=9.992 rho_g_cm3=8.03 pbc="T T T"
Ce 0.800 0.839 2.232
Ce 0.732 2.339 5.739
Ce 3.034 4.104 1.146
Ce 2.967 5.430 4.653
Ce 6.136 0.926 2.361
Ce 6.068 2.252 5.868
Ce 8.370 4.016 1.275
Ce 8.302 5.517 4.781
In 3.483 0.985 0.374
In 3.415 2.193 3.880
In 5.687 4.163 3.133
In 5.619 5.371 6.640
Rh 1.173 3.983 3.182
Rh 1.106 5.551 6.689
Rh 7.997 0.805 0.325
Rh 7.929 2.373 3.832


B | 8
Lattice="7.098 -1.870 0.000 7.098 1.870 0.000 -0.478 0.000 7.743" Properties=species:S:1:pos:R:3 comment="Ce2InRh (PBE, optimized geometry)" total_magnetization_mub_per_cell=3.35 crystal_system=monoclinic dos_ef_per_ev_fu=9.257 rho_g_cm3=8.04 pbc="T T T"
Ce 0.551 0.000 2.279
Ce 2.961 0.000 5.470
Ce 10.757 0.000 2.273
Ce 13.167 0.000 5.463
In 5.593 0.000 0.304
In 8.125 0.000 7.438
Rh 5.453 0.000 3.227
Rh 8.265 0.000 4.515


C | 4
Lattice="3.777 0.000 0.000 0.000 3.777 0.000 0.000 0.000 6.742" Properties=species:S:1:pos:R:3 comment="Ce2InRh (PBE, optimized geometry)" total_magnetization_mub_per_cell=0.92 crystal_system=tetragonal dos_ef_per_ev_fu=6.860 rho_g_cm3=8.60 pbc="T T T"
Ce 0.000 0.000 1.388
Ce 0.000 0.000 5.354
In 1.888 1.888 3.371
Rh 1.888 1.888 0.000


D | 4
Lattice="1.949 1.125 8.361 -1.949 1.125 8.361 0.000 -2.251 8.361" Properties=species:S:1:pos:R:3 comment="Ce2InRh (PBE, optimized geometry)" total_magnetization_mub_per_cell=1.32 crystal_system=trigonal dos_ef_per_ev_fu=10.073 rho_g_cm3=7.52 pbc="T T T"
Ce 0.000 0.000 5.866
Ce 0.000 0.000 19.217
In 0.000 0.000 0.000
Rh 0.000 0.000 12.542


It is B that is most stable; the runner-up trails by 13 meV per atom.


A | 10
Lattice="3.483 0.000 0.000 0.000 11.159 0.000 -1.738 0.000 6.784" Properties=species:S:1:pos:R:3 comment="Ce3InRh (PBE, optimized geometry)" total_magnetization_mub_per_cell=2.91 crystal_system=monoclinic dos_ef_per_ev_fu=12.850 rho_g_cm3=8.04 pbc="T T T"
Ce 0.005 2.790 0.335
Ce 0.005 0.263 4.605
Ce 0.005 5.316 4.605
Ce 1.741 5.843 2.180
Ce 1.741 10.895 2.180
Ce 1.741 8.369 6.450
In -0.002 8.369 3.463
In 1.748 2.790 3.322
Rh 0.000 0.000 0.000
Rh 0.000 5.579 0.000


B | 10
Lattice="6.605 0.000 0.000 0.000 5.482 0.000 -0.617 0.000 6.953" Properties=species:S:1:pos:R:3 comment="Ce3InRh (PBE, optimized geometry)" total_magnetization_mub_per_cell=2.31 crystal_system=monoclinic dos_ef_per_ev_fu=11.185 rho_g_cm3=8.42 pbc="T T T"
Ce -0.186 0.000 2.429
Ce 0.838 2.738 0.255
Ce 2.668 5.477 2.043
Ce 3.321 2.736 4.911
Ce 5.151 5.479 6.698
Ce 6.175 2.741 4.524
In 1.591 5.472 5.474
In 4.397 2.731 1.479
Rh 1.700 2.734 2.703
Rh 4.289 5.475 4.250


It is B that is most stable; the runner-up trails by 35 meV per atom.


A | 10
Lattice="7.320 -2.616 0.000 7.320 2.616 0.000 -0.786 0.000 6.648" Properties=species:S:1:pos:R:3 comment="Ce3InRu (PBE, optimized geometry)" total_magnetization_mub_per_cell=2.30 crystal_system=monoclinic dos_ef_per_ev_fu=12.348 rho_g_cm3=8.30 pbc="T T T"
Ce 0.707 0.000 1.542
Ce 2.415 0.000 5.319
Ce 5.559 0.000 3.674
Ce 8.296 0.000 2.973
Ce 11.440 0.000 1.329
Ce 13.148 0.000 5.105
In 5.959 0.000 0.486
In 7.896 0.000 6.161
Ru 2.944 0.000 2.711
Ru 10.911 0.000 3.937


B | 5
Lattice="5.316 0.000 0.000 0.000 5.316 0.000 0.000 0.000 5.316" Properties=species:S:1:pos:R:3 comment="Ce3InRu (PBE, optimized geometry)" total_magnetization_mub_per_cell=2.15 crystal_system=cubic dos_ef_per_ev_fu=17.602 rho_g_cm3=7.03 pbc="T T T"
Ce 0.000 0.000 2.658
Ce 0.000 2.658 0.000
Ce 2.658 0.000 0.000
In 2.658 2.658 2.658
Ru 0.000 0.000 0.000


It is A that is most stable; the runner-up trails by 52 meV per atom.